1.
3
Lattice="0.0000 3.5980 3.5980 3.5980 0.0000 3.5980 3.5980 3.5980 0.0000" Properties=species:S:1:pos:R:3 comment="LaMnBr, relaxed, DFT GGA-PBE" raw_formation_energy_ev_per_atom=0.1761 space_group="F-43m, No. 216" pbc="T T T"
La 0.0000 0.0000 0.0000
Mn 5.3970 5.3970 5.3970
Br 1.7990 1.7990 1.7990


2.
6
Lattice="4.1530 0.0000 0.0000 -2.0765 3.5966 0.0000 0.0000 0.0000 5.1196" Properties=species:S:1:pos:R:3 comment="AlNiRu, relaxed, DFT GGA-PBE" space_group="P3m1, No. 156" e_form_mev_per_atom=-409 pbc="T T T"
Al 0.0000 0.0000 0.0000
Al 0.0000 2.3978 1.7884
Ni 0.0000 2.3978 4.3201
Ni 2.0765 1.1989 3.4864
Ru 0.0000 0.0000 2.6310
Ru 2.0765 1.1989 0.8490


3.
13
Lattice="5.4978 3.1741 4.4844 -5.4978 3.1741 4.4844 0.0000 -6.3483 4.4844" Properties=species:S:1:pos:R:3 comment="Sm4Dy8Ho, relaxed, DFT GGA-PBE" space_group="R-3m, No. 166" e_form_mev_per_atom=507 pbc="T T T"
Sm 0.0000 0.0000 0.0000
Sm -2.7489 -1.5871 4.4844
Sm -2.7489 1.5871 8.9687
Sm 0.0000 3.1741 4.4844
Dy 0.0000 0.0000 3.2296
Dy 0.0000 -3.2957 5.5603
Dy -2.8541 1.6478 5.5603
Dy -2.8541 -1.6478 7.8928
Dy 2.8541 1.6478 5.5603
Dy 2.8541 -1.6478 7.8928
Dy 0.0000 3.2957 7.8928
Dy 0.0000 0.0000 10.2235
Ho 0.0000 0.0000 6.7265


4.
12
Lattice="4.4332 -6.3673 0.0000 4.4332 6.3673 0.0000 -3.4910 0.0000 5.1606" Properties=species:S:1:pos:R:3 comment="Er4OsRu, relaxed, DFT GGA-PBE" e_above_lowest_polymorph_mev_per_atom=0 space_group="C2/c, No. 15" e_form_mev_per_atom=-365 pbc="T T T"
Er 0.1255 4.1003 4.6779
Er 0.1483 0.7659 3.8004
Er 3.5045 4.1003 3.0629
Er 1.8938 -0.7659 1.2201
Er 3.4818 0.7659 3.9405
Er 1.8710 -4.1003 2.0976
Er 5.2273 -0.7659 1.3602
Er 5.2500 -4.1003 0.4826
Os 3.5605 1.7110 1.2901
Os 1.8150 -1.7110 3.8704
Ru 1.8150 6.3438 3.8704
Ru 3.5605 -6.3438 1.2901


5.
6
Lattice="4.7230 -2.2005 0.0000 4.7230 2.2005 0.0000 -3.2847 0.0000 4.5030" Properties=species:S:1:pos:R:3 comment="Ti2ReMo3, relaxed, DFT GGA-PBE" space_group="Cm, No. 8" e_form_mev_per_atom=-216 pbc="T T T"
Ti 0.0000 0.0000 0.0000
Ti -1.6346 0.0000 2.2650
Re 3.5443 0.0000 3.7915
Mo 2.6147 0.0000 0.7345
Mo 0.9799 0.0000 2.9895
Mo 5.1859 0.0000 1.5362


6.
4
Lattice="1.9108 1.1032 7.6634 -1.9108 1.1032 7.6634 0.0000 -2.2064 7.6634" Properties=species:S:1:pos:R:3 comment="Tm2AlSe, relaxed, DFT GGA-PBE" raw_formation_energy_ev_per_atom=-0.9653 e_above_lowest_polymorph_mev_per_atom=111 space_group="R-3m, No. 166" pbc="T T T"
Tm 0.0000 0.0000 5.6428
Tm 0.0000 0.0000 17.3473
Al 0.0000 0.0000 0.0000
Se 0.0000 0.0000 11.4951


7.
9
Lattice="8.0311 -1.7287 0.0000 8.0311 1.7287 0.0000 -5.8561 0.0000 9.9184" Properties=species:S:1:pos:R:3 comment="Na6CdHg2, relaxed, DFT GGA-PBE" e_above_lowest_polymorph_mev_per_atom=47 space_group="C2/m, No. 12" e_form_mev_per_atom=-85 pbc="T T T"
Na -0.7596 0.0000 2.3312
Na 0.0282 0.0000 6.0468
Na -0.2122 0.0000 9.3895
Na 10.4183 0.0000 0.5289
Na 10.1779 0.0000 3.8716
Na 10.9657 0.0000 7.5873
Cd -2.9280 0.0000 4.9592
Hg 4.4678 0.0000 2.3812
Hg 5.7383 0.0000 7.5373


| no. | M_tot (μB per formula unit) |
| --- | --- |
| 1 | 3.32 |
| 2 | 0.00 |
| 3 | 0.80 |
| 4 | 0.00 |
| 5 | 0.00 |
| 6 | 0.00 |
| 7 | 0.00 |